Compound: Ba2AlV3O8
Source: the Alexandria database
Functional: PBE+U
Structure: optimized geometry

Calculated values
The value obtained for the density of states at the Fermi level is 0.85 states/eV/f.u. The calculation puts the density at 5.327 Mg/m³. The magnetization is 5.97 μB/f.u. The calculation puts the total energy at -7.120 eV per atom.

a = 3.8196 Å, b = 4.0248 Å, c = 11.8100 Å
α = 90.00°, β = 90.00°, γ = 90.00°
With the nearest neighbours (Å) after each atom.
Space group Pmmm (No. 47)
Inequivalent atoms, fractional coordinates:
Ba (0.0000, 0.0000, 0.1694) (multiplicity 2)  8 O 2.77-2.84
Al (0.0000, 0.0000, 0.5000) (multiplicity 1)  8 O 2.30-2.36
V (0.5000, 0.5000, 0.0000) (multiplicity 1)  4 O 1.91-2.01
V (0.5000, 0.5000, 0.3498) (multiplicity 2)  5 O 1.91-2.07
O (0.0000, 0.5000, 0.0000) (multiplicity 1)  2 V 1.91
O (0.0000, 0.5000, 0.3958) (multiplicity 2)  2 V 1.99
O (0.5000, 0.0000, 0.0000) (multiplicity 1)  2 V 2.01
O (0.5000, 0.0000, 0.3921) (multiplicity 2)  2 V 2.07, 2 Al 2.30
O (0.5000, 0.5000, 0.1884) (multiplicity 2)  1 V 1.91